(1)
CsUAs: optimized geometry, PBE-GGA.

Cell and atoms, written as POSCAR:
```
CsUAs
1.0
2.593 1.497 4.235
-2.593 1.497 4.235
0.000 -2.994 4.235
As Cs U
1 1 1
Cartesian
0.000 0.000 9.528
0.000 0.000 0.000
0.000 0.000 3.176
```

## Properties
Raw total energy   -12.97 eV per cell
Spin magnetization   4.011 μB per formula unit


(2)
LaMgFeAs: optimized geometry, PBE-GGA.

Cell and atoms, written as POSCAR:
```
LaMgFeAs
1.0
3.500 1.165 3.289
-0.507 4.020 2.829
-0.896 -0.479 4.837
As La Mg Fe
1 1 1 1
Cartesian
1.049 2.353 5.477
0.524 1.177 2.739
1.573 3.530 8.216
0.000 0.000 0.000
```

## Properties
Raw total energy   -19.92 eV per cell
Spin magnetization   2.053 μB per formula unit


What is the raw total energy in the second record? -19.92 eV per cell